Below is a relaxed SnPd2Br crystal, with properties calculated at the PBE-GGA level.

```
data_SnPd2Br
_symmetry_space_group_name_H-M 'I -4 2 d'
_symmetry_Int_Tables_number 122
_symmetry_space_group_name_Hall 'I -4 2bw'
_cell_length_a 7.412
_cell_length_b 7.412
_cell_length_c 6.125
_cell_angle_alpha 90.00
_cell_angle_beta 90.00
_cell_angle_gamma 90.00
loop_
_atom_site_label
_atom_site_type_symbol
_atom_site_fract_x
_atom_site_fract_y
_atom_site_fract_z
Sn1 Sn 0.000 0.000 0.000
Pd1 Pd 0.239 0.750 0.125
Br1 Br 0.000 0.000 0.500
```

Computed properties:
**DFT total energy**: -0.298 Ry per atom
**M_tot**: 0.00 μB per formula unit
**Crystal system**: tetragonal

Below is a relaxed TlWCl2 crystal, with properties calculated at the PBE-GGA level.

```
data_TlWCl2
_symmetry_space_group_name_H-M 'I -4 m 2'
_symmetry_Int_Tables_number 119
_symmetry_space_group_name_Hall 'I -4 -2'
_cell_length_a 4.149
_cell_length_b 4.149
_cell_length_c 12.435
_cell_angle_alpha 90.00
_cell_angle_beta 90.00
_cell_angle_gamma 90.00
loop_
_atom_site_label
_atom_site_type_symbol
_atom_site_fract_x
_atom_site_fract_y
_atom_site_fract_z
Tl1 Tl 0.000 0.000 0.000
W1 W 0.000 0.500 0.750
Cl1 Cl 0.000 0.000 0.500
Cl2 Cl 0.000 0.500 0.250
```

Computed properties:
**DFT total energy**: -0.292 Ry per atom
**M_tot**: 4.97 μB per formula unit
**Crystal system**: tetragonal

Below is a relaxed Pa4OsSeS2 crystal, with properties calculated at the PBE-GGA level.

```
data_Pa4OsSeS2
_symmetry_space_group_name_H-M 'P 1 2/m 1'
_symmetry_Int_Tables_number 10
_cell_length_a 6.945
_cell_length_b 3.846
_cell_length_c 7.070
_cell_angle_alpha 90.00
_cell_angle_beta 108.11
_cell_angle_gamma 90.00
loop_
_symmetry_equiv_pos_as_xyz
'x,y,z'
'-x,-y,-z'
'-x,y,-z'
'x,-y,z'
loop_
_atom_site_label
_atom_site_type_symbol
_atom_site_fract_x
_atom_site_fract_y
_atom_site_fract_z
Pa1 Pa 0.238 0.000 0.235
Pa2 Pa 0.252 0.500 0.766
Os1 Os 0.500 0.000 0.000
Se1 Se 0.500 0.500 0.500
S1 S 0.000 0.000 0.500
S2 S 0.000 0.500 0.000
```

Computed properties:
**DFT total energy**: -0.645 Ry per atom
**M_tot**: 0.00 μB per formula unit
**Crystal system**: monoclinic

Below is a relaxed NaErSc2S4 crystal, with properties calculated at the PBE-GGA level.

```
data_NaErSc2S4
_symmetry_space_group_name_H-M 'I -4 m 2'
_symmetry_Int_Tables_number 119
_symmetry_space_group_name_Hall 'I -4 -2'
_cell_length_a 5.361
_cell_length_b 5.361
_cell_length_c 10.732
_cell_angle_alpha 90.00
_cell_angle_beta 90.00
_cell_angle_gamma 90.00
loop_
_atom_site_label
_atom_site_type_symbol
_atom_site_fract_x
_atom_site_fract_y
_atom_site_fract_z
Na1 Na 0.000 0.000 0.000
Er1 Er 0.000 0.500 0.750
Sc1 Sc 0.000 0.000 0.500
Sc2 Sc 0.000 0.500 0.250
S1 S 0.000 0.000 0.256
S2 S 0.000 0.500 0.004
```

Computed properties:
**DFT total energy**: -0.455 Ry per atom
**M_tot**: 0.00 μB per formula unit
**Crystal system**: tetragonal

Which of these has the highest M_tot?
TlWCl2

Which formula does entry 1 have?
SnPd2Br

Which of these has the lowest DFT total energy?
Pa4OsSeS2

Repeat the second record exactly.
Below is a relaxed TlWCl2 crystal, with properties calculated at the PBE-GGA level.

```
data_TlWCl2
_symmetry_space_group_name_H-M 'I -4 m 2'
_symmetry_Int_Tables_number 119
_symmetry_space_group_name_Hall 'I -4 -2'
_cell_length_a 4.149
_cell_length_b 4.149
_cell_length_c 12.435
_cell_angle_alpha 90.00
_cell_angle_beta 90.00
_cell_angle_gamma 90.00
loop_
_atom_site_label
_atom_site_type_symbol
_atom_site_fract_x
_atom_site_fract_y
_atom_site_fract_z
Tl1 Tl 0.000 0.000 0.000
W1 W 0.000 0.500 0.750
Cl1 Cl 0.000 0.000 0.500
Cl2 Cl 0.000 0.500 0.250
```

Computed properties:
**DFT total energy**: -0.292 Ry per atom
**M_tot**: 4.97 μB per formula unit
**Crystal system**: tetragonal